A relaxed CeEr2Sn crystal. Source: Alexandria via LeMat-Bulk, functional PBE.

Output
Total DFT energy (no corrections) (eV for the cell shown): -20.60
E_form (eV/atom): -0.384
SG: No. 123
Offset from the most stable computed form (meV per atom): 0

Structure (POSCAR):
```
CeEr2Sn
1.0
-1.2057 -0.4793 4.4407
-0.3703 -4.7940 -0.6179
4.6656 -0.5164 1.2110
Er Sn Ce
2 1 1
Cartesian
-0.1851 -2.3970 -0.3090
2.3328 -0.2582 0.6055
-0.6028 -0.2396 2.2203
1.5448 -2.8948 2.5169
```